A plane-wave DFT calculation with GGA-PBE was carried out for a relaxed structure of NaSnAuSeS2.

- Energy: -3.83 eV/atom

```
data_NaSnAuSeS2
_chemical_formula_sum 'Na2 Sn2 Au2 Se2 S4'
_cell_length_a 7.6715
_cell_length_b 7.6715
_cell_length_c 10.3255
_cell_angle_alpha 90.00
_cell_angle_beta 90.00
_cell_angle_gamma 151.11
_symmetry_space_group_name_H-M 'P 1'
_symmetry_Int_Tables_number 1
loop_
_symmetry_equiv_pos_as_xyz
'x,y,z'
loop_
_atom_site_label
_atom_site_fract_x
_atom_site_fract_y
_atom_site_fract_z
_atom_site_occupancy
S1 0.1240 0.8760 0.4741 1
Sn1 0.5000 0.5000 0.0000 1
S2 0.8760 0.1240 0.9741 1
Au1 0.1313 0.8687 0.2500 1
Se1 0.5602 0.4398 0.7500 1
S3 0.1240 0.8760 0.0259 1
Sn2 0.5000 0.5000 0.5000 1
Se2 0.4398 0.5602 0.2500 1
S4 0.8760 0.1240 0.5259 1
Na1 0.2072 0.7928 0.7500 1
Au2 0.8687 0.1313 0.7500 1
Na2 0.7928 0.2072 0.2500 1
```

=====

A plane-wave DFT calculation with GGA-PBE was carried out for a relaxed structure of YCu3P2.

- Magnetization: 0.0 μB/f.u.
- Energy: -5.30 eV/atom

```
data_YCu3P2
_chemical_formula_sum 'Y1 Cu3 P2'
_cell_length_a 3.9899
_cell_length_b 3.9899
_cell_length_c 6.5491
_cell_angle_alpha 90.00
_cell_angle_beta 90.00
_cell_angle_gamma 120.00
_symmetry_space_group_name_H-M 'P 1'
_symmetry_Int_Tables_number 1
loop_
_symmetry_equiv_pos_as_xyz
'x,y,z'
loop_
_atom_site_label
_atom_site_fract_x
_atom_site_fract_y
_atom_site_fract_z
_atom_site_occupancy
Cu1 0.6667 0.3333 0.3371 1
P1 0.3333 0.6667 0.2577 1
P2 0.6667 0.3333 0.7423 1
Cu2 0.3333 0.6667 0.6629 1
Cu3 0.0000 0.0000 0.5000 1
Y1 0.0000 0.0000 0.0000 1
```

=====

A plane-wave DFT calculation with GGA-PBE was carried out for a relaxed structure of Pr2SeS3.

- Magnetization: 0.0 μB/f.u.
- Energy: -5.42 eV/atom

```
data_Pr2SeS3
_chemical_formula_sum 'Pr2 Se1 S3'
_cell_length_a 7.4920
_cell_length_b 4.3086
_cell_length_c 10.8386
_cell_angle_alpha 90.00
_cell_angle_beta 110.20
_cell_angle_gamma 90.00
_symmetry_space_group_name_H-M 'P 1'
_symmetry_Int_Tables_number 1
loop_
_symmetry_equiv_pos_as_xyz
'x,y,z'
loop_
_atom_site_label
_atom_site_fract_x
_atom_site_fract_y
_atom_site_fract_z
_atom_site_occupancy
Se1 0.8289 0.0000 0.1552 1
Pr1 0.9190 0.5000 0.9946 1
S1 0.1797 0.5000 0.8556 1
S2 0.6826 0.0000 0.8632 1
Pr2 0.4143 0.0000 0.9963 1
S3 0.3195 0.5000 0.1352 1
```

=====

A plane-wave DFT calculation with GGA-PBE was carried out for a relaxed structure of LaSi2AgIr.

- Magnetization: 0.0 μB/f.u.
- Energy: -6.11 eV/atom

```
data_LaSi2AgIr
_chemical_formula_sum 'La1 Si2 Ag1 Ir1'
_cell_length_a 5.9512
_cell_length_b 5.9512
_cell_length_c 5.9512
_cell_angle_alpha 138.10
_cell_angle_beta 138.10
_cell_angle_gamma 60.75
_symmetry_space_group_name_H-M 'P 1'
_symmetry_Int_Tables_number 1
loop_
_symmetry_equiv_pos_as_xyz
'x,y,z'
loop_
_atom_site_label
_atom_site_fract_x
_atom_site_fract_y
_atom_site_fract_z
_atom_site_occupancy
Si1 0.3684 0.8684 0.5000 1
Si2 0.1316 0.6316 0.5000 1
La1 0.7500 0.2500 0.5000 1
Ir1 0.5000 0.5000 0.0000 1
Ag1 0.0000 0.0000 0.0000 1
```

=====

A plane-wave DFT calculation with GGA-PBE was carried out for a relaxed structure of Sm4CI2Br2Cl.

- Magnetization: 0.0 μB/f.u.
- Energy: -4.99 eV/atom

```
data_Sm4CI2Br2Cl
_chemical_formula_sum 'Sm4 C1 I2 Br2 Cl1'
_cell_length_a 9.6398
_cell_length_b 9.6398
_cell_length_c 8.1956
_cell_angle_alpha 101.89
_cell_angle_beta 101.89
_cell_angle_gamma 23.47
_symmetry_space_group_name_H-M 'P 1'
_symmetry_Int_Tables_number 1
loop_
_symmetry_equiv_pos_as_xyz
'x,y,z'
loop_
_atom_site_label
_atom_site_fract_x
_atom_site_fract_y
_atom_site_fract_z
_atom_site_occupancy
I1 0.1720 0.1720 0.8058 1
Sm1 0.9988 0.9988 0.2092 1
C1 0.5000 0.5000 0.0000 1
Cl1 0.5000 0.5000 0.5000 1
I2 0.8280 0.8280 0.1942 1
Sm2 0.3655 0.3655 0.9271 1
Sm3 0.0012 0.0012 0.7908 1
Br1 0.1570 0.1570 0.3425 1
Sm4 0.6345 0.6345 0.0729 1
Br2 0.8430 0.8430 0.6575 1
```

=====

A plane-wave DFT calculation with GGA-PBE was carried out for a relaxed structure of Dy2ErIn3Pd3.

- Magnetization: 0.0 μB/f.u.
- Energy: -4.99 eV/atom

```
data_Dy2ErIn3Pd3
_chemical_formula_sum 'Dy2 Er1 In3 Pd3'
_cell_length_a 3.8197
_cell_length_b 7.6961
_cell_length_c 7.6961
_cell_angle_alpha 119.92
_cell_angle_beta 90.00
_cell_angle_gamma 90.00
_symmetry_space_group_name_H-M 'P 1'
_symmetry_Int_Tables_number 1
loop_
_symmetry_equiv_pos_as_xyz
'x,y,z'
loop_
_atom_site_label
_atom_site_fract_x
_atom_site_fract_y
_atom_site_fract_z
_atom_site_occupancy
Pd1 0.5000 0.3344 0.6663 1
In1 0.5000 0.2608 0.2608 1
Pd2 0.0000 0.9993 0.9993 1
Pd3 0.5000 0.6663 0.3344 1
Dy1 0.0000 0.4074 0.0000 1
In2 0.5000 0.7397 0.9993 1
Er1 0.0000 0.5928 0.5928 1
Dy2 0.0000 0.0000 0.4074 1
In3 0.5000 0.9993 0.7397 1
```